Crystalline Al2Ir3 at its relaxed geometry. Source: Alexandria, functional GGA-PBE.

## Properties
**Total DFT energy (no corrections)**: -7.281 eV per atom
**Total moment**: 0.0 μB per cell
**Fermi-level density of states**: 1.2695 states/eV per atom
**Relative energy among the computed polymorphs**: 0 kJ/mol of formula units
**Formation energy**: -45.09 kJ per mole of atoms

CIF file:
```
data_Al2Ir3
_space_group_name_H-M_alt 'P 1'
_space_group_IT_number 1
_cell_length_a 10.367
_cell_length_b 10.367
_cell_length_c 10.367
_cell_angle_alpha 15.81
_cell_angle_beta 15.81
_cell_angle_gamma 15.81
loop_
_space_group_symop_operation_xyz
'x,y,z'
loop_
_atom_site_label
_atom_site_type_symbol
_atom_site_fract_x
_atom_site_fract_y
_atom_site_fract_z
Ir1 Ir 0.204 0.204 0.204
Ir2 Ir 0.000 0.000 0.000
Ir3 Ir 0.796 0.796 0.796
Al1 Al 0.399 0.399 0.399
Al2 Al 0.601 0.601 0.601
```